(1)
RbSrCoCl6: relaxed, PBE-GGA.

a b c (Å): 6.918 6.918 7.031
angles (deg): 90.00 90.00 120.00
Atoms (fractional coordinates):
Rb 0.000 0.000 0.000
Sr 0.333 0.667 0.500
Co 0.667 0.333 0.500
Cl 0.401 0.066 0.692
Cl 0.401 0.336 0.308
Cl 0.664 0.066 0.308
Cl 0.664 0.599 0.692
Cl 0.934 0.336 0.692
Cl 0.934 0.599 0.308

Output
The calculation puts the uncorrected formation energy at -1.473 eV/atom. The space group is No. 149.

(2)
RbSrCo2Cl8: relaxed, PBE-GGA.

a b c (Å): 10.382 10.382 10.382
angles (deg): 37.20 37.20 37.20
Atoms (fractional coordinates):
Rb 0.000 0.000 0.000
Sr 0.500 0.500 0.500
Co 0.252 0.252 0.252
Co 0.748 0.748 0.748
Cl 0.080 0.444 0.795
Cl 0.205 0.920 0.556
Cl 0.327 0.327 0.327
Cl 0.444 0.795 0.080
Cl 0.556 0.205 0.920
Cl 0.673 0.673 0.673
Cl 0.795 0.080 0.444
Cl 0.920 0.556 0.205

Output
The calculation puts the uncorrected formation energy at -1.273 eV/atom. Its density of states at the Fermi level is 14.4 states/eV/f.u. The space group is No. 148.

(3)
Rb2SrCoCl6: relaxed, PBE-GGA.

a b c (Å): 7.480 7.480 7.480
angles (deg): 60.00 60.00 60.00
Atoms (fractional coordinates):
Rb 0.250 0.250 0.250
Rb 0.750 0.750 0.750
Sr 0.000 0.000 0.000
Co 0.500 0.500 0.500
Cl 0.269 0.269 0.731
Cl 0.269 0.731 0.269
Cl 0.269 0.731 0.731
Cl 0.731 0.269 0.269
Cl 0.731 0.269 0.731
Cl 0.731 0.731 0.269

Output
The calculation puts the uncorrected formation energy at -1.651 eV/atom. Its density of states at the Fermi level is 10.8 states/eV/f.u. The space group is No. 225.

(4)
Rb2CoTcCl6: relaxed, PBE-GGA.

a b c (Å): 6.997 6.997 6.997
angles (deg): 60.00 60.00 60.00
Atoms (fractional coordinates):
Rb 0.250 0.250 0.250
Rb 0.750 0.750 0.750
Co 0.000 0.000 0.000
Tc 0.500 0.500 0.500
Cl 0.252 0.252 0.748
Cl 0.252 0.748 0.252
Cl 0.252 0.748 0.748
Cl 0.748 0.252 0.252
Cl 0.748 0.252 0.748
Cl 0.748 0.748 0.252

Output
The calculation puts the uncorrected formation energy at -0.993 eV/atom. Its density of states at the Fermi level is 7.4 states/eV/f.u. The space group is No. 225.

(5)
RbCo2TcCl8: relaxed, PBE-GGA.

a b c (Å): 11.092 11.092 11.092
angles (deg): 31.99 31.99 31.99
Atoms (fractional coordinates):
Rb 0.000 0.000 0.000
Co 0.238 0.238 0.238
Co 0.762 0.762 0.762
Tc 0.500 0.500 0.500
Cl 0.148 0.444 0.756
Cl 0.244 0.556 0.852
Cl 0.308 0.308 0.308
Cl 0.444 0.756 0.148
Cl 0.556 0.852 0.244
Cl 0.692 0.692 0.692
Cl 0.756 0.148 0.444
Cl 0.852 0.244 0.556

Output
The calculation puts the uncorrected formation energy at -0.687 eV/atom. Its density of states at the Fermi level is 4.7 states/eV/f.u. The space group is No. 155.

(6)
RbTiCoCl6: relaxed, PBE-GGA.

a b c (Å): 6.380 6.380 7.378
angles (deg): 90.00 90.00 120.00
Atoms (fractional coordinates):
Rb 0.000 0.000 0.000
Ti 0.667 0.333 0.500
Co 0.333 0.667 0.500
Cl 0.379 0.006 0.687
Cl 0.379 0.373 0.313
Cl 0.627 0.006 0.313
Cl 0.627 0.621 0.687
Cl 0.994 0.373 0.687
Cl 0.994 0.621 0.313

Output
The calculation puts the uncorrected formation energy at -1.349 eV/atom. Its density of states at the Fermi level is 9.4 states/eV/f.u. The space group is No. 149.

(7)
RbTlCo2Cl6: relaxed, PBE-GGA.

a b c (Å): 9.716 9.716 6.958
angles (deg): 96.63 96.63 90.14
Atoms (fractional coordinates):
Rb 0.193 0.807 0.750
Rb 0.807 0.193 0.250
Tl 0.397 0.603 0.250
Tl 0.603 0.397 0.750
Co 0.132 0.292 0.770
Co 0.292 0.132 0.270
Co 0.708 0.868 0.730
Co 0.868 0.708 0.230
Cl 0.079 0.637 0.326
Cl 0.114 0.197 0.056
Cl 0.197 0.114 0.556
Cl 0.286 0.468 0.815
Cl 0.363 0.921 0.174
Cl 0.468 0.286 0.315
Cl 0.532 0.714 0.685
Cl 0.637 0.079 0.826
Cl 0.714 0.532 0.185
Cl 0.803 0.886 0.444
Cl 0.886 0.803 0.944
Cl 0.921 0.363 0.674

Output
The calculation puts the uncorrected formation energy at -0.947 eV/atom. The space group is No. 15.

(8)
Rb2Tl2CoCl6: relaxed, PBE-GGA.

a b c (Å): 7.665 7.665 7.405
angles (deg): 99.75 99.75 116.04
Atoms (fractional coordinates):
Rb 0.158 0.842 0.000
Rb 0.842 0.158 0.000
Tl 0.329 0.671 0.500
Tl 0.671 0.329 0.500
Co 0.500 0.500 0.000
Cl 0.173 0.441 0.801
Cl 0.320 0.320 0.224
Cl 0.441 0.173 0.801
Cl 0.559 0.827 0.199
Cl 0.680 0.680 0.776
Cl 0.827 0.559 0.199

Output
The calculation puts the uncorrected formation energy at -1.180 eV/atom. Its density of states at the Fermi level is 0.4 states/eV/f.u. The space group is No. 12.

(9)
Rb3Tl3CoCl8: relaxed, PBE-GGA.

a b c (Å): 9.063 9.063 9.063
angles (deg): 60.68 60.68 60.68
Atoms (fractional coordinates):
Rb 0.000 0.500 0.500
Rb 0.500 0.000 0.500
Rb 0.500 0.500 0.000
Tl 0.000 0.000 0.500
Tl 0.000 0.500 0.000
Tl 0.500 0.000 0.000
Co 0.000 0.000 0.000
Cl 0.192 0.805 0.805
Cl 0.195 0.195 0.808
Cl 0.195 0.808 0.195
Cl 0.249 0.249 0.249
Cl 0.751 0.751 0.751
Cl 0.805 0.192 0.805
Cl 0.805 0.805 0.192
Cl 0.808 0.195 0.195

Output
The calculation puts the uncorrected formation energy at -1.266 eV/atom. Its density of states at the Fermi level is 11.3 states/eV/f.u. The space group is No. 166.

(10)
Rb3TlCo2Cl8: relaxed, PBE-GGA.

a b c (Å): 7.672 7.672 9.438
angles (deg): 90.00 90.00 120.00
Atoms (fractional coordinates):
Rb 0.000 0.000 0.000
Rb 0.333 0.667 0.630
Rb 0.667 0.333 0.370
Tl 0.000 0.000 0.500
Co 0.333 0.667 0.197
Co 0.667 0.333 0.803
Cl 0.177 0.354 0.293
Cl 0.177 0.823 0.293
Cl 0.333 0.667 0.963
Cl 0.354 0.177 0.707
Cl 0.646 0.823 0.293
Cl 0.667 0.333 0.037
Cl 0.823 0.177 0.707
Cl 0.823 0.646 0.707

Output
The calculation puts the uncorrected formation energy at -1.224 eV/atom. The space group is No. 164.

(11)
RbTl2CoCl6: relaxed, PBE-GGA.

a b c (Å): 7.003 8.068 12.502
angles (deg): 90.00 122.56 90.00
Atoms (fractional coordinates):
Rb 0.000 0.000 0.000
Rb 0.000 0.500 0.500
Tl 0.212 0.047 0.735
Tl 0.212 0.453 0.235
Tl 0.788 0.547 0.765
Tl 0.788 0.953 0.265
Co 0.500 0.000 0.500
Co 0.500 0.500 0.000
Cl 0.211 0.150 0.484
Cl 0.211 0.350 0.984
Cl 0.273 0.730 0.925
Cl 0.273 0.770 0.425
Cl 0.387 0.072 0.298
Cl 0.387 0.428 0.798
Cl 0.613 0.572 0.202
Cl 0.613 0.928 0.702
Cl 0.727 0.230 0.575
Cl 0.727 0.270 0.075
Cl 0.789 0.650 0.016
Cl 0.789 0.850 0.516

Output
The calculation puts the uncorrected formation energy at -1.004 eV/atom. The space group is No. 14.

(12)
RbTlCo2Cl8: relaxed, PBE-GGA.

a b c (Å): 9.866 9.866 9.866
angles (deg): 41.63 41.63 41.63
Atoms (fractional coordinates):
Rb 0.000 0.000 0.000
Tl 0.500 0.500 0.500
Co 0.238 0.238 0.238
Co 0.762 0.762 0.762
Cl 0.063 0.649 0.494
Cl 0.158 0.158 0.158
Cl 0.351 0.506 0.937
Cl 0.494 0.063 0.649
Cl 0.506 0.937 0.351
Cl 0.649 0.494 0.063
Cl 0.842 0.842 0.842
Cl 0.937 0.351 0.506

Output
The calculation puts the uncorrected formation energy at -0.869 eV/atom. Its density of states at the Fermi level is 12.4 states/eV/f.u. The space group is No. 148.

(13)
RbTmCo2Cl8: relaxed, PBE-GGA.

a b c (Å): 6.452 6.452 9.773
angles (deg): 94.22 94.22 68.69
Atoms (fractional coordinates):
Rb 0.000 0.000 0.000
Tm 0.000 0.000 0.500
Co 0.379 0.379 0.709
Co 0.621 0.621 0.291
Cl 0.240 0.744 0.303
Cl 0.245 0.245 0.514
Cl 0.256 0.760 0.697
Cl 0.304 0.304 0.910
Cl 0.696 0.696 0.090
Cl 0.744 0.240 0.303
Cl 0.755 0.755 0.486
Cl 0.760 0.256 0.697

Output
The calculation puts the uncorrected formation energy at -1.348 eV/atom. The space group is No. 12.

(14)
RbVCoCl6: relaxed, PBE-GGA.

a b c (Å): 6.332 6.332 7.407
angles (deg): 90.18 90.18 119.94
Atoms (fractional coordinates):
Rb 0.000 0.000 0.000
V 0.666 0.334 0.500
Co 0.332 0.668 0.500
Cl 0.376 0.007 0.684
Cl 0.381 0.377 0.313
Cl 0.623 0.619 0.687
Cl 0.629 0.007 0.314
Cl 0.993 0.371 0.686
Cl 0.993 0.624 0.316

Output
The calculation puts the uncorrected formation energy at -1.163 eV/atom. Its density of states at the Fermi level is 9.8 states/eV/f.u. The space group is No. 5.

(15)
Rb2CoWCl6: relaxed, PBE-GGA.

a b c (Å): 6.917 6.917 6.917
angles (deg): 115.60 115.60 97.81
Atoms (fractional coordinates):
Rb 0.250 0.750 0.500
Rb 0.750 0.250 0.500
Co 0.000 0.000 0.000
W 0.500 0.500 0.000
Cl 0.240 0.240 0.000
Cl 0.262 0.262 0.523
Cl 0.262 0.738 0.000
Cl 0.738 0.262 0.000
Cl 0.738 0.738 0.477
Cl 0.760 0.760 0.000

Output
The calculation puts the uncorrected formation energy at -0.949 eV/atom. Its density of states at the Fermi level is 0.0 states/eV/f.u. The space group is No. 139.

(16)
Co2ReCl: relaxed, PBE-GGA.

a b c (Å): 5.697 5.697 8.297
angles (deg): 90.00 90.00 90.00
Atoms (fractional coordinates):
Co 0.250 0.250 0.125
Co 0.250 0.250 0.625
Co 0.250 0.750 0.375
Co 0.250 0.750 0.875
Co 0.750 0.250 0.375
Co 0.750 0.250 0.875
Co 0.750 0.750 0.125
Co 0.750 0.750 0.625
Re 0.000 0.000 0.000
Re 0.000 0.500 0.250
Re 0.500 0.000 0.750
Re 0.500 0.500 0.500
Cl 0.000 0.000 0.500
Cl 0.000 0.500 0.750
Cl 0.500 0.000 0.250
Cl 0.500 0.500 0.000

Output
The value obtained for the energy above the most stable polymorph in this dataset is 56.08 kJ per mole of atoms. The calculation puts the uncorrected formation energy at 0.843 eV/atom. Its density of states at the Fermi level is 2.4 states/eV/f.u. The space group is No. 122.

(17)
Co2ReCl: relaxed, PBE-GGA.

a b c (Å): 2.753 4.375 8.856
angles (deg): 90.00 90.00 90.00
Atoms (fractional coordinates):
Co 0.000 0.000 0.000
Co 0.000 0.500 0.241
Co 0.500 0.000 0.741
Co 0.500 0.500 0.500
Re 0.000 0.500 0.770
Re 0.500 0.000 0.270
Cl 0.000 0.000 0.495
Cl 0.500 0.500 0.995

Output
The value obtained for the energy above the most stable polymorph in this dataset is 52.66 kJ per mole of atoms. The calculation puts the uncorrected formation energy at 0.807 eV/atom. Its density of states at the Fermi level is 4.5 states/eV/f.u. The space group is No. 44.

(18)
Co2ReCl: relaxed, PBE-GGA.

a b c (Å): 4.393 2.731 4.420
angles (deg): 90.00 90.17 90.00
Atoms (fractional coordinates):
Co 0.000 0.000 0.000
Co 0.500 0.500 0.000
Re 0.000 0.500 0.500
Cl 0.500 0.000 0.500

Output
The value obtained for the energy above the most stable polymorph in this dataset is 61.78 kJ per mole of atoms. The calculation puts the uncorrected formation energy at 0.902 eV/atom. Its density of states at the Fermi level is 5.2 states/eV/f.u. The space group is No. 10.

(19)
CoReCl: relaxed, PBE-GGA.

a b c (Å): 2.859 2.859 5.932
angles (deg): 90.00 90.00 120.00
Atoms (fractional coordinates):
Co 0.000 0.000 0.000
Re 0.667 0.333 0.314
Cl 0.333 0.667 0.677

Output
The value obtained for the energy above the most stable polymorph in this dataset is 0.00 kJ per mole of atoms. The calculation puts the uncorrected formation energy at 0.449 eV/atom. Its density of states at the Fermi level is 2.8 states/eV/f.u. The space group is No. 156.

(20)
CoReCl: relaxed, PBE-GGA.

a b c (Å): 2.831 4.973 12.486
angles (deg): 90.00 90.00 90.00
Atoms (fractional coordinates):
Co 0.000 0.000 0.000
Co 0.000 0.500 0.500
Co 0.500 0.000 0.500
Co 0.500 0.500 0.000
Re 0.000 0.000 0.344
Re 0.000 0.500 0.844
Re 0.500 0.000 0.844
Re 0.500 0.500 0.344
Cl 0.000 0.000 0.659
Cl 0.000 0.500 0.159
Cl 0.500 0.000 0.159
Cl 0.500 0.500 0.659

Output
The value obtained for the energy above the most stable polymorph in this dataset is 19.98 kJ per mole of atoms. The calculation puts the uncorrected formation energy at 0.656 eV/atom. Its density of states at the Fermi level is 3.6 states/eV/f.u. The space group is No. 42.